First-principles (PBEsol) data for a geometry-optimized EuB2O4 structure, as listed in Alexandria via LeMat-Bulk.

Structure (CIF):
```
data_EuB2O4
_chemical_formula_sum 'Eu4 B8 O16'
_cell_length_a 11.948
_cell_length_b 4.335
_cell_length_c 6.458
_cell_angle_alpha 90.00
_cell_angle_beta 90.00
_cell_angle_gamma 90.00
_space_group_name_H-M_alt 'P b c n'
_space_group_IT_number 60
loop_
_space_group_symop_operation_xyz
'x,y,z'
'-x,-y,-z'
'-x+1/2,-y+1/2,z+1/2'
'x+1/2,y+1/2,-z+1/2'
'x+1/2,-y+1/2,-z'
'-x+1/2,y+1/2,z'
'-x,y,-z+1/2'
'x,-y,z+1/2'
loop_
_atom_site_label
_atom_site_type_symbol
_atom_site_fract_x
_atom_site_fract_y
_atom_site_fract_z
Eu1 Eu 0.000 0.236 0.250
B1 B 0.194 0.330 0.628
O1 O 0.089 0.232 0.595
O2 O 0.210 0.350 0.148
```

For the size of the total moment, the calculation gives 28.0 μB per cell. The value obtained for the uncorrected energy is -9.1905 eV/atom.